(1)
First-principles (PBE) data for an optimized crystal structure of CaTl2Se, as listed in Alexandria via LeMat-Bulk.

Final energy = -3.24 eV per atom
Formation energy from raw total energies = -0.68 eV per atom
Total magnetization = 0.00 μB per formula unit

a = 6.1359 Å, b = 12.3727 Å, c = 4.3541 Å
α = 90.00°, β = 134.62°, γ = 90.00°
Space group C2/m (No. 12)
One atom of each set of equivalent atoms:
Ca  0.0000  0.0000  0.0000 (multiplicity 2)
Tl  0.2500  0.2500  0.5000 (multiplicity 4)
Se  0.0000  0.5000  0.0000 (multiplicity 2)

=====

(2)
First-principles (PBE) data for an optimized crystal structure of NdDy2In, as listed in Alexandria via LeMat-Bulk.

Final energy = -4.44 eV per atom
Total magnetization = 0.09 μB per formula unit
Distance to the lowest polymorph of the same formula = 0 meV/atom

a = 4.9105 Å, b = 4.9105 Å, c = 4.8590 Å
α = 90.00°, β = 90.00°, γ = 90.00°
Space group P4/mmm (No. 123)
One atom of each set of equivalent atoms:
Nd  0.0000  0.0000  0.0000 (multiplicity 1)
Dy  0.0000  0.5000  0.5000 (multiplicity 2)
In  0.5000  0.5000  0.0000 (multiplicity 1)